Density functional theory data (PBE) for an optimized crystal structure of Tl2CoTe.

The structure in POSCAR format:
```
Tl2CoTe
1.0
3.269 0.016 0.000
-0.016 3.269 0.000
0.000 0.000 9.511
Co Te Tl
1 1 2
Direct
0.000 0.000 0.541
0.500 0.500 0.657
0.000 0.000 0.996
0.500 0.500 0.306
```

Summary:
The total energy is -3.5836 eV/atom. Its formation energy from raw total energies is 0.1615 eV/atom. The space-group type is No. 99. The calculation puts the total magnetic moment at 0.0 μB/f.u. The value obtained for the distance to the lowest polymorph of the same formula is 54 meV/atom. For the density of states at the Fermi level, the calculation gives 0.92 states/eV/atom.